# 1
DFT (PBE) results for TbEuPt4 after structural relaxation.

abc: 7.7452 7.7452 7.7452
angles: 90.00 90.00 90.00
Last column: nearest neighbours and their distance in Å.
Space group F-43m (No. 216)
Unique sites:
Tb: 0.0000 0.0000 0.0000  12 Pt 3.21, 4 Eu 3.35
Eu: 0.2500 0.2500 0.7500  12 Pt 3.21, 4 Tb 3.35
Pt: 0.1250 0.1250 0.3750  6 Pt 2.74

Results
Density of states at the Fermi level = 2.2716 states/eV/atom
E = -181.18 eV for the cell shown
Calculated formation energy = -1038 meV/atom

=====

# 2
DFT (PBE) results for Tb2EuPt after structural relaxation.

abc: 4.1047 4.1047 28.0483
angles: 90.00 90.00 120.00
Last column: nearest neighbours and their distance in Å.
Space group R-3m (No. 166, hexagonal axes)
Unique sites:
Tb: 0.0000 0.0000 0.2203  3 Pt 2.81
Eu: 0.0000 0.0000 0.0000  6 Tb 3.96, 6 Eu 4.10
Pt: 0.0000 0.0000 0.5000  6 Tb 2.81

Results
Density of states at the Fermi level = 1.0597 states/eV/atom
E = -83.33 eV for the cell shown
Calculated formation energy = -550 meV/atom

=====

# 3
DFT (PBE) results for TbEuTlPt after structural relaxation.

abc: 7.4099 7.4099 7.4099
angles: 90.00 90.00 90.00
Last column: nearest neighbours and their distance in Å.
Space group F-43m (No. 216)
Unique sites:
Tb: 0.0000 0.0000 0.0000  4 Pt 3.21, 4 Tl 3.21
Eu: 0.0000 0.0000 0.5000  4 Tl 3.21, 4 Pt 3.21
Tl: 0.2500 0.2500 0.7500  4 Tb 3.21, 4 Eu 3.21
Pt: 0.2500 0.2500 0.2500  4 Eu 3.21, 4 Tb 3.21

Results
Density of states at the Fermi level = 1.6859 states/eV/atom
E = -102.97 eV for the cell shown
Calculated formation energy = -608 meV/atom

=====

# 4
DFT (PBE) results for TbEuZnPt after structural relaxation.

abc: 7.1665 7.1665 7.1665
angles: 90.00 90.00 90.00
Last column: nearest neighbours and their distance in Å.
Space group F-43m (No. 216)
Unique sites:
Tb: 0.0000 0.0000 0.0000  4 Pt 3.10, 4 Zn 3.10
Eu: 0.0000 0.0000 0.5000  4 Pt 3.10, 4 Zn 3.10
Zn: 0.2500 0.2500 0.7500  4 Tb 3.10, 4 Eu 3.10
Pt: 0.2500 0.2500 0.2500  4 Tb 3.10, 4 Eu 3.10

Results
Density of states at the Fermi level = 1.6752 states/eV/atom
E = -99.55 eV for the cell shown
Calculated formation energy = -667 meV/atom